A plane-wave DFT calculation with PBE-GGA was carried out for K3HRu after structural relaxation.

Structure (POSCAR):
```
K3HRu
1.0
5.377 0.000 0.000
0.000 5.377 0.000
0.000 0.000 5.377
K H Ru
3 1 1
Cartesian
0.000 0.000 2.688 K
0.000 2.688 0.000 K
2.688 0.000 0.000 K
0.000 0.000 0.000 H
2.688 2.688 2.688 Ru
```

Values from the calculation:
Total magnetization in μB/f.u.: 2.0
Space-group type: Pm-3m (221)
DOS(E_F) in states/eV/atom: 0.004
Theoretical density in g cm⁻³: 2.3
Final energy in eV per atom: -2.439

A plane-wave DFT calculation with PBE-GGA was carried out for Cs3Au2 after structural relaxation.

Structure (POSCAR):
```
Cs3Au2
1.0
14.249 0.000 0.000
0.000 5.070 0.000
0.000 0.000 14.129
Cs Au
12 8
Cartesian
0.638 1.268 1.816 Cs
1.688 3.803 7.781 Cs
3.263 1.268 11.340 Cs
3.861 3.803 4.275 Cs
5.437 1.268 0.717 Cs
6.487 3.803 8.881 Cs
7.762 1.268 5.248 Cs
8.812 3.803 13.413 Cs
10.388 1.268 9.854 Cs
10.986 3.803 2.789 Cs
12.561 1.268 6.348 Cs
13.611 3.803 12.313 Cs
0.094 3.803 4.437 Au
2.691 3.803 14.106 Au
4.434 1.268 7.041 Au
7.031 1.268 11.501 Au
7.218 3.803 2.628 Au
9.815 3.803 7.088 Au
11.558 1.268 0.023 Au
14.155 1.268 9.692 Au
```

Values from the calculation:
Total magnetization in μB/f.u.: 0.0
Space-group type: Pnma (62)
DOS(E_F) in states/eV/atom: 0.731
Theoretical density in g cm⁻³: 5.2
Final energy in eV per atom: -2.090

A plane-wave DFT calculation with PBE-GGA was carried out for CoBr3 after structural relaxation.

Structure (POSCAR):
```
CoBr3
1.0
1.774 1.024 8.644
-1.774 1.024 8.644
0.000 -2.049 8.644
Co Br
1 3
Cartesian
0.000 0.000 0.000 Co
0.000 0.000 7.295 Br
0.000 0.000 12.966 Br
0.000 0.000 18.636 Br
```

Values from the calculation:
Total magnetization in μB/f.u.: 0.5
Space-group type: R-3m (166)
DOS(E_F) in states/eV/atom: 1.111
Theoretical density in g cm⁻³: 5.3
Energy relative to the elements, uncorrected in eV per atom: 0.00

A plane-wave DFT calculation with PBE-GGA was carried out for Nb3IrF after structural relaxation.

Structure (POSCAR):
```
Nb3IrF
1.0
4.896 0.000 0.000
0.000 4.896 0.000
0.000 0.000 4.896
Nb Ir F
3 1 1
Cartesian
0.000 0.000 2.448 Nb
0.000 2.448 0.000 Nb
2.448 0.000 0.000 Nb
0.000 0.000 0.000 Ir
2.448 2.448 2.448 F
```

Values from the calculation:
Total magnetization in μB/f.u.: 0.0
Space-group type: Pm-3m (221)
DOS(E_F) in states/eV/atom: 0.985
Theoretical density in g cm⁻³: 6.9
Energy relative to the elements, uncorrected in eV per atom: 0.90

A plane-wave DFT calculation with PBE-GGA was carried out for LaPbAu2 after structural relaxation.

Structure (POSCAR):
```
LaPbAu2
1.0
-2.025 2.280 5.667
2.025 -2.280 5.667
2.025 2.280 -5.667
La Pb Au
1 1 2
Cartesian
0.000 0.000 0.000 La
2.025 0.000 3.117 Pb
0.000 0.000 6.581 Au
0.000 2.280 3.077 Au
```

Values from the calculation:
Total magnetization in μB/f.u.: 0.0
Space-group type: Imm2 (44)
DOS(E_F) in states/eV/atom: 0.469
Theoretical density in g cm⁻³: 11.7
Final energy in eV per atom: -4.282

A plane-wave DFT calculation with PBE-GGA was carried out for P2Ru2W after structural relaxation.

Structure (POSCAR):
```
P2Ru2W
1.0
6.913 0.000 0.000
0.000 6.913 0.000
0.000 0.000 2.813
P Ru W
4 4 2
Cartesian
1.094 2.363 0.000 P
2.363 5.819 0.000 P
4.550 1.094 0.000 P
5.819 4.550 0.000 P
1.022 4.478 1.406 Ru
2.435 1.022 1.406 Ru
4.478 5.891 1.406 Ru
5.891 2.435 1.406 Ru
0.000 0.000 0.000 W
3.457 3.457 0.000 W
```

Values from the calculation:
Total magnetization in μB/f.u.: 0.0
Space-group type: P4/mbm (127)
DOS(E_F) in states/eV/atom: 0.768
Theoretical density in g cm⁻³: 11.1
Final energy in eV per atom: -8.603

A plane-wave DFT calculation with PBE-GGA was carried out for Ca2SbS after structural relaxation.

Structure (POSCAR):
```
Ca2SbS
1.0
-3.924 3.924 3.804
3.924 -3.924 3.804
3.924 3.924 -3.804
Ca Sb S
4 2 2
Cartesian
5.886 1.620 -0.951 Ca
1.620 1.962 0.951 Ca
-1.962 2.303 2.853 Ca
2.303 1.962 4.755 Ca
3.924 0.000 1.902 Sb
0.000 0.000 3.804 Sb
0.000 0.000 0.000 S
0.000 3.924 1.902 S
```

Values from the calculation:
Total magnetization in μB/f.u.: 0.0
Space-group type: I-42d (122)
DOS(E_F) in states/eV/atom: 0.881
Theoretical density in g cm⁻³: 3.3
Energy relative to the elements, uncorrected in eV per atom: -1.15

A plane-wave DFT calculation with PBE-GGA was carried out for KZnPb3 after structural relaxation.

Structure (POSCAR):
```
KZnPb3
1.0
-2.605 2.605 6.011
2.605 -2.605 6.011
2.605 2.605 -6.011
K Zn Pb
1 1 3
Cartesian
0.000 0.000 0.000 K
0.000 0.000 4.406 Zn
2.605 0.000 3.083 Pb
0.000 0.000 7.210 Pb
0.000 2.605 3.083 Pb
```

Values from the calculation:
Total magnetization in μB/f.u.: 0.0
Space-group type: I4mm (107)
DOS(E_F) in states/eV/atom: 0.593
Theoretical density in g cm⁻³: 7.4
Final energy in eV per atom: -2.753

A plane-wave DFT calculation with PBE-GGA was carried out for LaZr2N after structural relaxation.

Structure (POSCAR):
```
LaZr2N
1.0
-3.366 3.366 4.678
3.366 -3.366 4.678
3.366 3.366 -4.678
La Zr N
2 4 2
Cartesian
0.000 0.000 0.000 La
0.000 3.366 2.339 La
1.683 -0.370 3.508 Zr
2.996 1.683 1.169 Zr
1.683 3.736 -1.169 Zr
0.370 1.683 5.847 Zr
3.366 0.000 2.339 N
0.000 0.000 4.678 N
```

Values from the calculation:
Total magnetization in μB/f.u.: 0.0
Space-group type: I-42d (122)
DOS(E_F) in states/eV/atom: 0.949
Theoretical density in g cm⁻³: 5.3
Energy relative to the elements, uncorrected in eV per atom: -0.42

A plane-wave DFT calculation with PBE-GGA was carried out for LiGaP2O after structural relaxation.

Structure (POSCAR):
```
LiGaP2O
1.0
5.083 0.000 0.000
0.000 5.083 0.000
0.000 0.000 3.529
Li Ga P O
1 1 2 1
Cartesian
0.000 0.000 0.000 Li
2.541 2.541 1.764 Ga
0.000 2.541 1.764 P
2.541 0.000 1.764 P
2.541 2.541 0.000 O
```

Values from the calculation:
Total magnetization in μB/f.u.: 0.0
Space-group type: P4/mmm (123)
DOS(E_F) in states/eV/atom: 0.786
Theoretical density in g cm⁻³: 2.8
Energy relative to the elements, uncorrected in eV per atom: 0.17

A plane-wave DFT calculation with PBE-GGA was carried out for MnRhBr2 after structural relaxation.

Structure (POSCAR):
```
MnRhBr2
1.0
1.738 -3.118 0.000
1.738 3.118 0.000
0.000 0.000 7.917
Mn Rh Br
1 1 2
Cartesian
0.000 0.000 0.000 Mn
0.000 0.000 3.959 Rh
1.738 0.000 1.927 Br
1.738 0.000 5.990 Br
```

Values from the calculation:
Total magnetization in μB/f.u.: 3.4
Space-group type: Cmmm (65)
DOS(E_F) in states/eV/atom: 0.743
Theoretical density in g cm⁻³: 6.1
Energy relative to the elements, uncorrected in eV per atom: 0.37

A plane-wave DFT calculation with PBE-GGA was carried out for FeRe2Pb after structural relaxation.

Structure (POSCAR):
```
FeRe2Pb
1.0
1.446 0.835 9.221
-1.446 0.835 9.221
0.000 -1.670 9.221
Fe Re Pb
1 2 1
Cartesian
0.000 0.000 0.000 Fe
0.000 0.000 7.268 Re
0.000 0.000 20.396 Re
0.000 0.000 13.832 Pb
```

Values from the calculation:
Total magnetization in μB/f.u.: 1.2
Space-group type: R-3m (166)
DOS(E_F) in states/eV/atom: 0.708
Theoretical density in g cm⁻³: 15.8
Final energy in eV per atom: -8.471

A plane-wave DFT calculation with PBE-GGA was carried out for Fe2MoBr after structural relaxation.

Structure (POSCAR):
```
Fe2MoBr
1.0
2.540 -4.141 0.000
2.540 4.141 0.000
0.000 0.000 2.880
Fe Mo Br
2 1 1
Cartesian
1.270 2.071 0.000 Fe
1.270 -2.071 0.000 Fe
0.000 0.000 1.440 Mo
2.540 0.000 1.440 Br
```

Values from the calculation:
Total magnetization in μB/f.u.: 5.2
Space-group type: Cmmm (65)
DOS(E_F) in states/eV/atom: 1.257
Theoretical density in g cm⁻³: 7.9
Energy relative to the elements, uncorrected in eV per atom: 0.82

A plane-wave DFT calculation with PBE-GGA was carried out for Ce3ThC8 after structural relaxation.

Structure (POSCAR):
```
Ce3ThC8
1.0
0.000 4.901 4.004
4.890 0.000 4.004
4.890 4.901 0.000
Ce Th C
3 1 8
Cartesian
0.000 0.000 0.000 Ce
2.445 2.450 2.000 Ce
7.335 7.351 6.004 Ce
4.890 4.901 4.012 Th
6.476 4.901 2.017 C
7.395 4.901 2.978 C
4.890 2.376 5.031 C
3.304 4.901 2.017 C
4.890 3.310 5.979 C
2.384 4.901 2.978 C
4.890 7.426 5.031 C
4.890 6.492 5.979 C
```

Values from the calculation:
Total magnetization in μB/f.u.: 0.3
Space-group type: Fmm2 (42)
DOS(E_F) in states/eV/atom: 0.997
Theoretical density in g cm⁻³: 6.5
Final energy in eV per atom: -8.102

A plane-wave DFT calculation with PBE-GGA was carried out for TbPr6Y2Tm after structural relaxation.

Structure (POSCAR):
```
TbPr6Y2Tm
1.0
4.710 -7.711 0.000
4.710 7.711 0.000
-1.097 0.000 9.566
Tb Pr Y Tm
2 12 4 2
Cartesian
3.887 7.238 7.175 Tb
4.435 -7.238 2.392 Tb
1.917 4.305 6.603 Pr
4.088 5.008 0.539 Pr
4.783 5.008 4.244 Pr
2.842 1.721 8.459 Pr
5.857 4.305 7.746 Pr
4.932 1.721 5.890 Pr
3.391 -1.721 3.676 Pr
2.466 -4.305 1.820 Pr
5.480 -1.721 1.107 Pr
3.539 -5.008 5.322 Pr
4.235 -5.008 9.027 Pr
6.405 -4.305 2.963 Pr
1.752 0.726 5.247 Y
2.301 -0.726 0.464 Y
6.022 0.726 9.103 Y
6.570 -0.726 4.320 Y
4.435 1.348 2.392 Tm
3.887 -1.348 7.175 Tm
```

Values from the calculation:
Total magnetization in μB/f.u.: 0.0
Space-group type: C2/c (15)
DOS(E_F) in states/eV/atom: 1.491
Theoretical density in g cm⁻³: 6.5
Final energy in eV per atom: -4.954

A plane-wave DFT calculation with PBE-GGA was carried out for KGa3Tc after structural relaxation.

Structure (POSCAR):
```
KGa3Tc
1.0
4.911 0.000 0.000
0.007 6.811 0.000
2.446 3.325 7.842
K Ga Tc
2 6 2
Cartesian
0.000 0.000 0.000 K
2.451 6.728 3.569 K
2.482 6.733 7.078 Ga
1.270 2.921 1.779 Ga
2.492 3.322 4.332 Ga
4.912 5.029 5.703 Ga
3.725 3.812 1.789 Ga
4.958 8.432 5.704 Ga
4.937 6.728 7.435 Tc
4.948 3.326 3.974 Tc
```

Values from the calculation:
Total magnetization in μB/f.u.: 0.0
Space-group type: P1 (1)
DOS(E_F) in states/eV/atom: 0.100
Theoretical density in g cm⁻³: 4.4
Final energy in eV per atom: -4.180

A plane-wave DFT calculation with PBE-GGA was carried out for ZnCrRu2 after structural relaxation.

Structure (POSCAR):
```
ZnCrRu2
1.0
2.939 0.000 0.000
0.000 2.939 0.000
0.000 0.000 6.200
Zn Cr Ru
1 1 2
Cartesian
0.000 0.000 0.000 Zn
0.000 0.000 3.100 Cr
1.470 1.470 1.630 Ru
1.470 1.470 4.570 Ru
```

Values from the calculation:
Total magnetization in μB/f.u.: 0.7
Space-group type: P4/mmm (123)
DOS(E_F) in states/eV/atom: 0.995
Theoretical density in g cm⁻³: 9.9
Final energy in eV per atom: -7.358

A plane-wave DFT calculation with PBE-GGA was carried out for ErAl2SiNi2 after structural relaxation.

Structure (POSCAR):
```
ErAl2SiNi2
1.0
4.268 0.000 0.000
0.000 4.268 0.000
0.000 0.000 5.475
Er Al Si Ni
1 2 1 2
Cartesian
0.000 0.000 0.000 Er
2.134 2.134 1.322 Al
2.134 2.134 4.153 Al
0.000 0.000 2.738 Si
0.000 2.134 2.738 Ni
2.134 0.000 2.738 Ni
```

Values from the calculation:
Total magnetization in μB/f.u.: 0.0
Space-group type: P4/mmm (123)
DOS(E_F) in states/eV/atom: 0.558
Theoretical density in g cm⁻³: 6.1
Energy relative to the elements, uncorrected in eV per atom: -0.42

A plane-wave DFT calculation with PBE-GGA was carried out for YZnCr2 after structural relaxation.

Structure (POSCAR):
```
YZnCr2
1.0
2.944 -4.758 0.000
2.944 4.758 0.000
-1.437 0.000 2.695
Y Zn Cr
1 1 2
Cartesian
0.000 0.000 0.000 Y
2.944 0.000 0.000 Zn
0.753 2.379 1.348 Cr
0.753 -2.379 1.348 Cr
```

Values from the calculation:
Total magnetization in μB/f.u.: 6.7
Space-group type: C2/m (12)
DOS(E_F) in states/eV/atom: 1.042
Theoretical density in g cm⁻³: 5.7
Final energy in eV per atom: -6.124

A plane-wave DFT calculation with PBE-GGA was carried out for Hg2As2Pt after structural relaxation.

Structure (POSCAR):
```
Hg2As2Pt
1.0
-1.901 1.901 8.489
1.901 -1.901 8.489
1.901 1.901 -8.489
Hg As Pt
2 2 1
Cartesian
1.901 0.000 4.244 Hg
0.000 1.901 4.244 Hg
0.000 0.000 1.166 As
0.000 0.000 15.811 As
0.000 0.000 8.489 Pt
```

Values from the calculation:
Total magnetization in μB/f.u.: 0.0
Space-group type: I4/mmm (139)
DOS(E_F) in states/eV/atom: 0.653
Theoretical density in g cm⁻³: 10.1
Final energy in eV per atom: -2.822